--- A ---
A PBEsol-optimized structure of YReNi. Source: Alexandria via LeMat-Bulk, functional SCAN.

```
3
Lattice="0.0000 3.0244 3.0244 3.0244 0.0000 3.0244 3.0244 3.0244 0.0000" Properties=species:S:1:pos:R:3 pbc="T T T"
Y 0.0000 0.0000 0.0000
Re 3.0244 3.0244 3.0244
Ni 4.5367 4.5367 4.5367
```

Calculated values
- magnetization (μB/cell) = 1.87
- space-group type = No. 216

---

--- B ---
A PBEsol-optimized structure of YReNi. Source: Alexandria via LeMat-Bulk, functional SCAN.

```
3
Lattice="0.0000 3.1139 3.1139 3.1139 0.0000 3.1139 3.1139 3.1139 0.0000" Properties=species:S:1:pos:R:3 pbc="T T T"
Y 0.0000 0.0000 0.0000
Re 4.6709 4.6709 4.6709
Ni 1.5570 1.5570 1.5570
```

Calculated values
- magnetization (μB/cell) = 2.85
- space-group type = No. 216

---

Short version: A is the most stable of them.

---

--- A ---
A PBEsol-optimized structure of YRe2Ni. Source: Alexandria via LeMat-Bulk, functional SCAN.

```
4
Lattice="0.0000 3.1551 3.1551 3.1551 0.0000 3.1551 3.1551 3.1551 0.0000" Properties=species:S:1:pos:R:3 pbc="T T T"
Y 0.0000 0.0000 0.0000
Re 3.1551 3.1551 3.1551
Re 4.7326 4.7326 4.7326
Ni 1.5775 1.5775 1.5775
```

Calculated values
- magnetization (μB/cell) = 0.01
- space-group type = No. 216

---

--- B ---
A PBEsol-optimized structure of YRe2Ni. Source: Alexandria via LeMat-Bulk, functional SCAN.

```
4
Lattice="2.7108 0.0000 0.0000 0.0000 2.7108 0.0000 0.0000 0.0000 8.4364" Properties=species:S:1:pos:R:3 pbc="T T T"
Y 0.0000 0.0000 0.0000
Re 1.3554 1.3554 2.4709
Re 1.3554 1.3554 5.9654
Ni 0.0000 0.0000 4.2182
```

Calculated values
- magnetization (μB/cell) = 0.00
- space-group type = No. 123

---

--- C ---
A PBEsol-optimized structure of YRe2Ni. Source: Alexandria via LeMat-Bulk, functional SCAN.

```
4
Lattice="2.6345 -4.7588 0.0000 2.6345 4.7588 0.0000 -1.0704 0.0000 2.5165" Properties=species:S:1:pos:R:3 pbc="T T T"
Y 0.0000 0.0000 0.0000
Re 0.7820 2.3794 1.2582
Re 0.7820 -2.3794 1.2582
Ni 2.6345 0.0000 0.0000
```

Calculated values
- magnetization (μB/cell) = 0.00
- space-group type = No. 12

---

Short version: A is the most stable of them.

---

--- A ---
A PBEsol-optimized structure of Zn2ReNi. Source: Alexandria via LeMat-Bulk, functional SCAN.

```
4
Lattice="2.6212 0.0000 0.0000 0.0000 3.6629 0.0000 0.0000 0.0000 5.3578" Properties=species:S:1:pos:R:3 pbc="T T T"
Zn 0.0000 0.0000 0.0000
Zn 1.3106 1.8315 1.3141
Re 1.3106 1.8315 3.9060
Ni 0.0000 0.0000 2.6713
```

Calculated values
- magnetization (μB/cell) = 0.00
- space-group type = No. 25

---

--- B ---
A PBEsol-optimized structure of Zn2ReNi. Source: Alexandria via LeMat-Bulk, functional SCAN.

```
4
Lattice="2.6513 0.0000 0.0000 0.0000 3.2689 0.0000 0.0000 0.0000 5.8454" Properties=species:S:1:pos:R:3 pbc="T T T"
Zn 0.0000 0.0000 1.3090
Zn 0.0000 0.0000 4.5364
Re 1.3257 1.6345 2.9227
Ni 1.3257 1.6345 0.0000
```

Calculated values
- magnetization (μB/cell) = 0.00
- space-group type = No. 47

---

Short version: A is the most stable of them.

---

--- A ---
A PBEsol-optimized structure of Ni2Rh3. Source: Alexandria via LeMat-Bulk, functional SCAN.

```
5
Lattice="-1.3138 1.8323 6.4247 1.3138 -1.8323 6.4247 1.3138 1.8323 -6.4247" Properties=species:S:1:pos:R:3 pbc="T T T"
Ni 0.0000 0.0000 2.6055
Ni 0.0000 0.0000 10.2440
Rh 0.0000 0.0000 0.0000
Rh 0.0000 0.0000 5.0732
Rh 0.0000 0.0000 7.7763
```

Calculated values
- magnetization (μB/cell) = 2.67
- space-group type = No. 71

---

--- B ---
A PBEsol-optimized structure of Ni2Rh3. Source: Alexandria via LeMat-Bulk, functional SCAN.

```
5
Lattice="-1.3189 1.3189 8.8535 1.3189 -1.3189 8.8535 1.3189 1.3189 -8.8535" Properties=species:S:1:pos:R:3 pbc="T T T"
Ni 0.0000 0.0000 1.7337
Ni 0.0000 0.0000 15.9733
Rh 0.0000 0.0000 5.3680
Rh 0.0000 0.0000 8.8535
Rh 0.0000 0.0000 12.3391
```

Calculated values
- magnetization (μB/cell) = 0.00
- space-group type = No. 139

---

--- C ---
A PBEsol-optimized structure of Ni2Rh3. Source: Alexandria via LeMat-Bulk, functional SCAN.

```
5
Lattice="4.0603 -1.8295 0.0000 4.0603 1.8295 0.0000 -3.9941 0.0000 4.1440" Properties=species:S:1:pos:R:3 pbc="T T T"
Ni -0.3732 0.0000 1.2406
Ni 4.4997 0.0000 2.9034
Rh -1.1369 0.0000 3.7145
Rh 2.0632 0.0000 2.0720
Rh 5.2634 0.0000 0.4295
```

Calculated values
- magnetization (μB/cell) = 2.92
- space-group type = No. 12

---

Short version: C is the most stable of them.